(1)
{"formula": "Sr2CaNbN4", "functional": "PBE", "state": "optimized geometry", "lattice_angstrom": [[5.7131, 0.0000, 0.0000], [0.0000, 6.9208, 0.0000], [0.0000, 0.0000, 7.8870]], "species": ["Sr", "N", "Sr", "N", "Ca", "Sr", "N", "N", "Sr", "N", "N", "Nb", "Ca", "N", "Nb", "N"], "frac_coords": [[0.4697, 0.3248, 0.2542], [0.3368, 0.1613, 0.0000], [0.9697, 0.6752, 0.2458], [0.4257, 0.6957, 0.7185], [0.9770, 0.1479, 0.5000], [0.9697, 0.6752, 0.7542], [0.4257, 0.6957, 0.2815], [0.9257, 0.3043, 0.7815], [0.4697, 0.3248, 0.7458], [0.8948, 0.8955, 0.0000], [0.8368, 0.8387, 0.5000], [0.5004, 0.8311, 0.5000], [0.4770, 0.8521, 0.0000], [0.9257, 0.3043, 0.2185], [0.0004, 0.1689, 0.0000], [0.3948, 0.1045, 0.5000]], "final_energy_ev_per_cell": -110.86, "raw_formation_energy_mev_per_atom": -837, "crystal_system": "orthorhombic", "spacegroup": "Pmn2_1", "magnetic_moment_mub_per_fu": 1.0, "dos_ef_per_ev_fu": 5.673}

=====

(2)
{"formula": "Co2Te6Pt", "functional": "PBE", "state": "optimized geometry", "lattice_angstrom": [[-0.4767, -5.1496, 1.6910], [6.2626, 0.2600, 2.5571], [-5.2972, 1.7496, 3.8348]], "species": ["Te", "Te", "Te", "Te", "Co", "Pt", "Te", "Co", "Te"], "frac_coords": [[0.7413, 0.3499, 0.0000], [0.2587, 0.0000, 0.6501], [0.7413, 0.0000, 0.3499], [0.2587, 0.6501, 0.0000], [0.5000, 0.3333, 0.6667], [0.5000, 0.0000, 0.0000], [0.2587, 0.3499, 0.3499], [0.5000, 0.6667, 0.3333], [0.7413, 0.6501, 0.6501]], "final_energy_ev_per_cell": -41.52, "raw_formation_energy_mev_per_atom": -268, "crystal_system": "trigonal", "spacegroup": "P-31m", "magnetic_moment_mub_per_fu": 0.0, "dos_ef_per_ev_fu": 4.720}

=====

(3)
{"formula": "MgZnBRh2", "functional": "PBE", "state": "optimized geometry", "lattice_angstrom": [[4.1300, 0.0000, 0.0000], [0.0000, 4.1300, 0.0000], [0.0000, 0.0000, 4.0610]], "species": ["Zn", "B", "Rh", "Mg", "Rh"], "frac_coords": [[0.0000, 0.0000, 0.5000], [0.0000, 0.0000, 0.0000], [0.0000, 0.5000, 0.0000], [0.5000, 0.5000, 0.5000], [0.5000, 0.0000, 0.0000]], "ef_ev_per_fu": -1.78, "final_energy_ev_per_cell": -26.03, "crystal_system": "tetragonal", "spacegroup": "P4/mmm", "magnetic_moment_mub_per_fu": 0.0, "dos_ef_per_ev_fu": 1.154}

=====

(4)
{"formula": "EuGaAu", "functional": "PBE", "state": "optimized geometry", "lattice_angstrom": [[-5.0866, 1.9882, -2.1446], [-2.9574, -1.0648, -4.9544], [-6.5141, -3.7206, -0.8936]], "species": ["Ga", "Eu", "Au", "Ga", "Eu", "Au"], "frac_coords": [[0.8409, 0.8409, 0.0990], [0.4531, 0.4531, 0.3070], [0.1781, 0.1781, 0.2681], [0.1591, 0.1591, 0.9010], [0.5469, 0.5469, 0.6930], [0.8219, 0.8219, 0.7319]], "ef_ev_per_fu": -2.06, "final_energy_ev_per_cell": -37.27, "crystal_system": "monoclinic", "spacegroup": "C2/m", "magnetic_moment_mub_per_fu": 7.1, "dos_ef_per_ev_fu": 7.647}

=====

(5)
{"formula": "Nd3InGe3", "functional": "PBE", "state": "optimized geometry", "lattice_angstrom": [[6.0863, 0.0000, 0.0000], [0.0000, 8.9042, 0.0000], [0.0000, -4.4521, 7.7112]], "species": ["Nd", "Nd", "Ge", "In", "Ge", "Nd", "Ge", "Nd", "Nd", "Ge", "Ge", "Ge", "In", "Nd"], "frac_coords": [[0.2500, 0.3080, 0.3657], [0.7500, 0.3657, 0.0576], [0.7500, 0.3037, 0.3527], [0.2500, 0.6667, 0.3333], [0.2500, 0.6963, 0.6473], [0.7500, 0.9424, 0.3080], [0.7500, 0.0491, 0.6963], [0.7500, 0.6920, 0.6343], [0.2500, 0.6343, 0.9424], [0.2500, 0.9509, 0.3037], [0.7500, 0.6473, 0.9509], [0.2500, 0.3527, 0.0491], [0.7500, 0.3333, 0.6667], [0.2500, 0.0576, 0.6920]], "ef_ev_per_fu": -4.04, "final_energy_ev_per_cell": -69.87, "crystal_system": "hexagonal", "spacegroup": "P6_3/m", "magnetic_moment_mub_per_fu": 0.0, "dos_ef_per_ev_fu": 1.777}

=====

(6)
{"formula": "TeAsN2", "functional": "PBE", "state": "optimized geometry", "lattice_angstrom": [[1.9075, 0.0000, 6.6410], [-0.9537, 1.6519, 6.6410], [-0.9537, -1.6519, 6.6410]], "species": ["Te", "N", "N", "As"], "frac_coords": [[0.5000, 0.5000, 0.5000], [0.8947, 0.8947, 0.8947], [0.1053, 0.1053, 0.1053], [0.0000, 0.0000, 0.0000]], "final_energy_ev_per_cell": -20.34, "raw_formation_energy_mev_per_atom": 1027, "crystal_system": "trigonal", "spacegroup": "R-3m", "magnetic_moment_mub_per_fu": 0.0, "dos_ef_per_ev_fu": 0.989}

=====

(7)
{"formula": "SiNiAg2", "functional": "PBE", "state": "optimized geometry", "lattice_angstrom": [[-0.0908, 3.0990, 1.3878], [-0.5218, -1.3845, 3.0575], [5.3035, -0.2078, 0.8110]], "species": ["Si", "Ag", "Ni", "Ag"], "frac_coords": [[0.5000, 0.5000, 0.7500], [0.0000, 0.0000, 0.0027], [0.5000, 0.5000, 0.2500], [0.0000, 0.0000, 0.4973]], "final_energy_ev_per_cell": -15.76, "raw_formation_energy_mev_per_atom": 286, "crystal_system": "tetragonal", "spacegroup": "P4/mmm", "magnetic_moment_mub_per_fu": 0.0, "dos_ef_per_ev_fu": 1.295}

=====

(8)
{"formula": "Sm4CdGa", "functional": "PBE", "state": "optimized geometry", "lattice_angstrom": [[5.2539, 0.0000, 0.0508], [0.0000, 12.5380, 0.0000], [-0.0535, 0.0000, 5.2510]], "species": ["Sm", "Ga", "Sm", "Cd", "Sm", "Ga", "Sm", "Sm", "Cd", "Sm", "Sm", "Sm"], "frac_coords": [[0.0000, 0.8500, 0.5000], [0.0000, 0.5000, 0.5000], [0.0000, 0.6493, 0.0000], [0.0000, 0.0000, 0.0000], [0.5000, 0.3500, 0.5000], [0.5000, 0.0000, 0.5000], [0.5000, 0.8507, 0.0000], [0.0000, 0.3507, 0.0000], [0.5000, 0.5000, 0.0000], [0.0000, 0.1500, 0.5000], [0.5000, 0.1493, 0.0000], [0.5000, 0.6500, 0.5000]], "ef_ev_per_fu": -1.55, "final_energy_ev_per_cell": -48.73, "crystal_system": "orthorhombic", "spacegroup": "Cmmm", "magnetic_moment_mub_per_fu": 0.8, "dos_ef_per_ev_fu": 7.070}

=====

(9)
{"formula": "NaSr2Eu", "functional": "PBE", "state": "optimized geometry", "lattice_angstrom": [[-1.7392, -6.2236, -0.8222], [1.4580, -4.4188, 4.5587], [-4.7259, -2.5734, 3.6712]], "species": ["Eu", "Sr", "Na", "Sr"], "frac_coords": [[0.0000, 0.0000, 0.0000], [0.2500, 0.2500, 0.2500], [0.5000, 0.5000, 0.5000], [0.7500, 0.7500, 0.7500]], "ef_ev_per_fu": 0.35, "final_energy_ev_per_cell": -14.61, "crystal_system": "cubic", "spacegroup": "Fm-3m", "magnetic_moment_mub_per_fu": 7.6, "dos_ef_per_ev_fu": 16.020}

=====

(10)
{"formula": "Li2Ga5Cu2Pd", "functional": "PBE", "state": "optimized geometry", "lattice_angstrom": [[-0.3110, 1.4233, 3.7186], [-2.5539, -7.9642, 2.8348], [8.4257, -2.1571, 1.5304]], "species": ["Cu", "Li", "Cu", "Ga", "Ga", "Ga", "Ga", "Ga", "Ga", "Cu", "Ga", "Cu", "Li", "Pd", "Li", "Ga", "Pd", "Ga", "Ga", "Li"], "frac_coords": [[0.0000, 0.6184, 0.8816], [0.0000, 0.1766, 0.3234], [0.0000, 0.1184, 0.6184], [0.5000, 0.2994, 0.5756], [0.5000, 0.4244, 0.2994], [0.5000, 0.7994, 0.9244], [0.5000, 0.5756, 0.7006], [0.5000, 0.5000, 0.0000], [0.5000, 0.7006, 0.4244], [0.0000, 0.3816, 0.1184], [0.5000, 0.0000, 0.5000], [0.0000, 0.8816, 0.3816], [0.0000, 0.8234, 0.6766], [0.0000, 0.5000, 0.5000], [0.0000, 0.3234, 0.8234], [0.5000, 0.2006, 0.0756], [0.0000, 0.0000, 0.0000], [0.5000, 0.0756, 0.7994], [0.5000, 0.9244, 0.2006], [0.0000, 0.6766, 0.1766]], "ef_ev_per_fu": -2.23, "final_energy_ev_per_cell": -69.16, "crystal_system": "tetragonal", "spacegroup": "P4/mbm", "magnetic_moment_mub_per_fu": 0.0, "dos_ef_per_ev_fu": 3.371}

=====

(11)
{"formula": "YCuPS2", "functional": "PBE", "state": "optimized geometry", "lattice_angstrom": [[-3.9902, -2.2813, -0.3911], [0.0540, -0.8710, 4.5296], [-2.2395, 3.7876, 0.7550]], "species": ["P", "Cu", "S", "S", "Y"], "frac_coords": [[0.0000, 0.0000, 0.5000], [0.0000, 0.0000, 0.0000], [0.0000, 0.5000, 0.0000], [0.5000, 0.0000, 0.0000], [0.5000, 0.5000, 0.5000]], "final_energy_ev_per_cell": -25.99, "raw_formation_energy_mev_per_atom": -353, "crystal_system": "tetragonal", "spacegroup": "P4/mmm", "magnetic_moment_mub_per_fu": 0.0, "dos_ef_per_ev_fu": 3.283}

=====

(12)
{"formula": "Nd2Zn4CdAu3", "functional": "PBE", "state": "optimized geometry", "lattice_angstrom": [[4.2483, 0.0000, 0.0000], [0.0000, 4.2483, 0.0000], [0.0000, 0.0000, 11.6160]], "species": ["Au", "Zn", "Zn", "Nd", "Cd", "Au", "Nd", "Zn", "Zn", "Au"], "frac_coords": [[0.0000, 0.5000, 0.1378], [0.0000, 0.0000, 0.0000], [0.5000, 0.5000, 0.0000], [0.0000, 0.5000, 0.7600], [0.5000, 0.5000, 0.5000], [0.0000, 0.0000, 0.5000], [0.5000, 0.0000, 0.2400], [0.5000, 0.0000, 0.6428], [0.0000, 0.5000, 0.3572], [0.5000, 0.0000, 0.8622]], "ef_ev_per_fu": -4.82, "final_energy_ev_per_cell": -30.20, "crystal_system": "tetragonal", "spacegroup": "P-4m2", "magnetic_moment_mub_per_fu": 0.0, "dos_ef_per_ev_fu": 3.337}